Record 1
This record from Alexandria describes crystalline KNaOs2O8 at its relaxed geometry. The functional is PBE.

It has space group I-4m2 (No. 119), with a = 7.903 Å, b = 7.903 Å, c = 7.162 Å, α = 90.00°, β = 90.00° and γ = 90.00°. Symmetry generates all atoms from K at (0.000, 0.000, 0.000), Na at (0.000, 0.500, 0.250), Os at (0.000, 0.000, 0.500), Os at (0.000, 0.500, 0.750), O at (0.000, 0.184, 0.359) and O at (0.000, 0.323, 0.899).

The value obtained for the total moment is 0.1701 μB per atom. The value obtained for the theoretical density is 4236 kg/m3. The raw total energy comes out at -6.598 eV per atom.

Record 2
This record from Alexandria describes crystalline K3NaOs2O9 at its relaxed geometry. The functional is PBE.

It has space group P-3m1 (No. 164), with a = 5.7231 Å, b = 5.7231 Å, c = 7.2784 Å, α = 90.00°, β = 90.00° and γ = 120.00°. Symmetry generates all atoms from K at (0.0000, 0.0000, 0.0000), K at (0.3333, 0.6667, 0.6612), Na at (0.0000, 0.0000, 0.5000), Os at (0.3333, 0.6667, 0.1608), O at (0.0000, 0.5000, 0.0000) and O at (0.1796, 0.3593, 0.2974).

The value obtained for the total moment is 0.0000 μB per atom. The value obtained for the theoretical density is 5347 kg/m3. The energy above the most stable polymorph in this dataset is 37 meV per atom.

Record 3
This record from Alexandria describes crystalline K3NaOs2O9 at its relaxed geometry. The functional is PBE.

It has space group P6_3/mmc (No. 194), with a = 6.0904 Å, b = 6.0904 Å, c = 14.5694 Å, α = 90.00°, β = 90.00° and γ = 120.00°. Symmetry generates all atoms from K at (0.0000, 0.0000, 0.2500), K at (0.3333, 0.6667, 0.1081), Na at (0.0000, 0.0000, 0.0000), Os at (0.3333, 0.6667, 0.6501), O at (0.0636, 0.5318, 0.7500) and O at (0.1822, 0.3643, 0.5917).

The value obtained for the total moment is 0.1386 μB per atom. The value obtained for the theoretical density is 4717 kg/m3. The energy above the most stable polymorph in this dataset is 0 meV per atom.

Record 4
This record from Alexandria describes crystalline KNaOsO4 at its relaxed geometry. The functional is PBE.

It has space group I-4 (No. 82), with a = 6.107 Å, b = 6.107 Å, c = 7.696 Å, α = 90.00°, β = 90.00° and γ = 90.00°. Symmetry generates all atoms from K at (0.000, 0.000, 0.000), Na at (0.000, 0.000, 0.500), Os at (0.000, 0.500, 0.750) and O at (0.155, 0.268, 0.677).

The value obtained for the total moment is 0.0000 μB per atom. The value obtained for the theoretical density is 3660 kg/m3. The raw total energy comes out at -6.126 eV per atom.